First-principles (PBE) data for a relaxed MgTa2Co crystal, as listed in Alexandria.

Lattice parameters (Å, degrees): 3.830 4.174 8.364 90.00 90.00 90.00
Space group Cmmm (No. 65)
Asymmetric unit:
Mg  0.000  0.000  0.000 (multiplicity 2)
Ta  0.000  0.500  0.292 (multiplicity 4)
Co  0.000  0.000  0.500 (multiplicity 2)

## Properties
* formation energy from the elements: 0.1216 eV per atom
* Fermi-level density of states: 6.48 states/eV per cell
* magnetization: 0.4 μB/f.u.